#a
KMnPO4 PBE+U relaxed; symmetry = P-1
1.0
-4.353 0.647 -3.408
-1.639 -8.617 -0.156
-5.662 0.619 7.099
Mn O K P
4 16 4 4
direct
0.733 0.822 0.103
0.267 0.178 0.897
0.685 0.342 0.423
0.316 0.658 0.577
0.553 0.809 0.465
0.761 0.043 0.166
0.833 0.678 0.277
0.357 0.677 0.802
0.167 0.322 0.723
0.998 0.220 0.488
0.002 0.780 0.512
0.447 0.191 0.535
0.643 0.323 0.198
0.266 0.450 0.474
0.027 0.250 0.060
0.623 0.212 0.945
0.734 0.550 0.526
0.377 0.788 0.055
0.973 0.750 0.940
0.239 0.957 0.834
0.238 0.002 0.321
0.783 0.495 0.823
0.217 0.505 0.177
0.762 0.998 0.679
0.216 0.295 0.557
0.238 0.795 0.907
0.762 0.205 0.093
0.784 0.705 0.443



#b
KMnPO4 PBE+U relaxed; symmetry = P2_1/m
1.0
-2.348 -2.507 4.115
-1.485 -4.270 -3.449
6.730 -2.185 -0.193
O Mn K P
8 2 2 2
direct
0.565 0.250 0.444
0.418 0.750 0.199
0.058 0.533 0.312
0.058 0.967 0.312
0.942 0.033 0.688
0.435 0.750 0.556
0.582 0.250 0.801
0.942 0.467 0.688
0.203 0.250 0.529
0.797 0.750 0.471
0.699 0.750 0.936
0.301 0.250 0.064
0.751 0.250 0.657
0.249 0.750 0.343



Which of them is most stable? Easy: #a.



#a
KMnPO2 PBE+U relaxed; symmetry = P4/mmm
1.0
4.111 0.000 0.000
0.000 4.111 0.000
0.000 0.000 4.836
P Mn O K
1 1 2 1
direct
0.000 0.000 0.500
0.000 0.000 0.000
0.500 0.000 0.000
0.000 0.500 0.000
0.500 0.500 0.500



#b
KMnPO2 PBE+U relaxed; symmetry = P4/mmm
1.0
4.451 0.000 0.000
0.000 4.451 0.000
0.000 0.000 6.290
K Mn O P
1 1 2 1
direct
0.000 0.000 0.000
0.500 0.500 0.500
0.000 0.500 0.000
0.500 0.000 0.000
0.000 0.000 0.500



Which of them is most stable? Easy: #a.



#a
KMnSe2O8 PBE+U relaxed; symmetry = R-3
1.0
-2.648 0.788 4.220
-3.766 -3.120 1.234
3.367 -5.692 6.190
Se O Mn K
2 8 1 1
direct
0.264 0.264 0.207
0.736 0.736 0.793
0.265 0.979 0.144
0.021 0.388 0.856
0.200 0.200 0.400
0.979 0.612 0.144
0.800 0.800 0.600
0.388 0.735 0.856
0.735 0.021 0.856
0.612 0.265 0.144
0.000 0.000 0.000
0.500 0.500 0.500



#b
KMnSe2O8 PBE+U relaxed; symmetry = P-1
1.0
4.953 0.018 -0.027
1.965 4.749 -0.032
0.577 0.748 8.130
Se Mn K O
2 1 1 8
direct
0.621 0.634 0.202
0.379 0.366 0.798
0.000 0.000 0.000
0.000 0.000 0.500
0.752 0.215 0.814
0.248 0.785 0.186
0.765 0.767 0.037
0.273 0.712 0.813
0.235 0.233 0.963
0.691 0.699 0.384
0.309 0.301 0.616
0.727 0.288 0.187



Which of them is most stable? Easy: #b.



#a
K2MnSe2O6 PBE+U relaxed; symmetry = R-3m
1.0
-2.872 4.915 0.416
-3.960 0.657 4.058
2.150 4.110 5.448
K Mn O Se
2 1 6 2
direct
0.196 0.196 0.413
0.804 0.804 0.587
0.000 0.000 0.000
0.750 0.272 0.228
0.272 0.750 0.228
0.750 0.750 0.228
0.250 0.728 0.772
0.250 0.250 0.772
0.728 0.250 0.772
0.372 0.372 0.885
0.628 0.628 0.115



#b
K2MnSe2O6 PBE+U relaxed; symmetry = C2/m
1.0
5.921 0.000 0.000
-2.960 4.618 -0.029
0.000 -2.615 6.704
K O Se Mn
2 6 2 1
direct
0.297 0.594 0.844
0.703 0.406 0.156
0.744 0.955 0.259
0.748 0.496 0.545
0.252 0.504 0.455
0.789 0.045 0.741
0.211 0.955 0.259
0.256 0.045 0.741
0.088 0.176 0.244
0.912 0.824 0.756
0.500 0.000 0.500



Which of them is most stable? Easy: #a.